NaEu2Al GGA-PBE optimized geometry; formation enthalpy at 0 K = 86 meV/atom; SG = R-3m, No. 166; energy above the lowest structure with this stoichiometry = 183 meV per atom; E_tot = -6.32 eV/atom
1.0
-2.407 -2.813 -0.005
1.232 -3.491 -0.064
-0.226 -2.265 12.057
Al Eu Na
1 2 1
direct
0.500 0.500 0.500
0.101 0.101 0.698
0.899 0.899 0.302
0.000 0.000 0.000